No. 1
Entry from Alexandria via LeMat-Bulk: Li2Br2O7 after structural relaxation (PBE).

- ΔE_f (raw) (eV per atom) = -0.43
- N(E_F) (states/eV/f.u.) = 0.00
- DFT total energy (eV per atom) = -4.235

Cell lengths 5.9784, 5.9893, 9.7671 Å; angles 75.51, 73.77, 85.11 degrees
Closest atoms and distances in Å follow each position.
Atoms (fractional coordinates):
Li: 0.0918 0.2542 0.0198  5 O 2.03-2.21
Li: 0.2202 0.0821 0.5325  5 O 2.03-2.16
Li: 0.7798 0.9179 0.4675  5 O 2.03-2.16
Li: 0.9082 0.7458 0.9802  5 O 2.03-2.21
Br: 0.0119 0.4739 0.3042  3 O 1.67-1.70
Br: 0.4762 0.9649 0.8059  4 O 1.63-1.67
Br: 0.5238 0.0351 0.1941  4 O 1.63-1.67
Br: 0.9881 0.5261 0.6958  3 O 1.67-1.70
O: 0.0065 0.8063 0.6026  1 Br 1.69
O: 0.0678 0.5242 0.8500  1 Br 1.70
O: 0.2008 0.9864 0.9038  1 Br 1.67
O: 0.2019 0.3852 0.5988  1 Br 1.67
O: 0.3887 0.7971 0.2189  1 Br 1.63
O: 0.3962 0.2570 0.1055  1 Br 1.65
O: 0.4714 0.9165 0.6465  1 Br 1.66
O: 0.5286 0.0835 0.3535  1 Br 1.66
O: 0.6038 0.7430 0.8945  1 Br 1.65
O: 0.6113 0.2029 0.7811  1 Br 1.63
O: 0.7981 0.6148 0.4012  1 Br 1.67
O: 0.7992 0.0136 0.0962  1 Br 1.67
O: 0.9322 0.4758 0.1500  1 Br 1.70
O: 0.9935 0.1937 0.3974  1 Br 1.69



No. 2
Entry from Alexandria via LeMat-Bulk: SrCa3Pd8 after structural relaxation (PBE).

- ΔE_f (meV per atom) = -675
- N(E_F) (states/eV/f.u.) = 6.63
- DFT total energy (eV per atom) = -4.777

Cell lengths 9.5154, 9.5154, 9.5154 Å; angles 33.68, 33.68, 33.68 degrees
Closest atoms and distances in Å follow each position.
Atoms (fractional coordinates):
Sr: 0.0000 0.0000 0.0000  12 Pd 3.23-3.26, 4 Ca 3.39
Ca: 0.3768 0.3768 0.3768  12 Pd 3.22-3.28, 1 Ca 3.34, 3 Sr 3.39
Ca: 0.5009 0.5009 0.5009  12 Pd 3.18-3.23, 4 Ca 3.34-3.36
Ca: 0.8738 0.8738 0.8738  12 Pd 3.16-3.24, 3 Ca 3.36, 1 Sr 3.39
Pd: 0.1877 0.1877 0.1877  6 Pd 2.73
Pd: 0.4371 0.4370 0.9361  6 Pd 2.73-2.78
Pd: 0.4371 0.9361 0.4371  6 Pd 2.73-2.78
Pd: 0.4401 0.9381 0.9381  6 Pd 2.73-2.77
Pd: 0.6880 0.6880 0.6880  6 Pd 2.76-2.78
Pd: 0.9361 0.4370 0.4370  6 Pd 2.73-2.78
Pd: 0.9381 0.4401 0.9381  6 Pd 2.73-2.77
Pd: 0.9381 0.9381 0.4401  6 Pd 2.73-2.77



No. 3
Entry from Alexandria via LeMat-Bulk: Li2ScSi after structural relaxation (PBE).

- ΔE_f (raw) (eV per atom) = -0.15
- N(E_F) (states/eV/f.u.) = 2.09
- DFT total energy (eV per atom) = -4.045

Cell lengths 2.8871, 3.9772, 6.2799 Å; angles 90.00, 90.00, 90.00 degrees
Closest atoms and distances in Å follow each position.
Atoms (fractional coordinates):
Li: 0.0000 0.0000 0.0000  1 Sc 2.82, 6 Li 2.83-2.89, 4 Si 2.85
Li: 0.5000 0.5000 0.2243  6 Li 2.83-2.89, 1 Si 2.86
Sc: 0.0000 0.0000 0.5507  4 Si 2.82, 1 Li 2.82, 2 Sc 2.89
Si: 0.5000 0.5000 0.7695  4 Sc 2.82, 5 Li 2.85-2.86, 2 Si 2.89